No. 1
## Tb3CdNi (PBE)

Data for crystalline Tb3CdNi at its relaxed geometry.

DFT formation energy, eV per atom: -0.100
Energy above the lowest structure with this stoichiometry, eV per atom: 0.157

abc: 5.2329 5.2329 5.2329
angles: 90.00 90.00 90.00
With the nearest neighbours (Å) after each atom.
Space group Pm-3m (No. 221)
One atom of each set of equivalent atoms:
Tb 0.0000 0.0000 0.5000  2 Ni 2.62
Cd 0.5000 0.5000 0.5000  12 Tb 3.70
Ni 0.0000 0.0000 0.0000  6 Tb 2.62



No. 2
## SrTiCrI2 (PBE)

Data for crystalline SrTiCrI2 at its relaxed geometry.

Raw total energy, eV per cell: -18.60

abc: 6.1912 6.1912 6.4680
angles: 90.00 90.00 90.00
With the nearest neighbours (Å) after each atom.
Space group P4/mmm (No. 123)
One atom of each set of equivalent atoms:
Sr 0.0000 0.0000 0.0000  4 I 3.10, 2 Cr 3.23
Ti 0.5000 0.5000 0.5000  4 Cr 4.38, 8 I 4.48
Cr 0.0000 0.0000 0.5000  2 Sr 3.23
I 0.0000 0.5000 0.0000  2 Sr 3.10



No. 3
## Sc2Ti2Bi2C (PBE)

Data for crystalline Sc2Ti2Bi2C at its relaxed geometry.

DFT formation energy, eV per atom: -0.604

abc: 4.2897 4.2897 15.0920
angles: 90.00 90.00 90.00
With the nearest neighbours (Å) after each atom.
Space group I4/mmm (No. 139)
One atom of each set of equivalent atoms:
Sc 0.0000 0.0000 0.1511  1 C 2.28
Ti 0.0000 0.5000 0.0000  2 C 2.14
Bi 0.0000 0.0000 0.3555  5 Sc 3.03-3.09, 4 Ti 3.06
C 0.0000 0.0000 0.0000  4 Ti 2.14, 2 Sc 2.28



No. 4
## Li2Ca2CePb2 (PBE)

Data for crystalline Li2Ca2CePb2 at its relaxed geometry.

DFT formation energy, eV per atom: -0.354

abc: 4.9413 4.9413 28.1873
angles: 90.00 90.00 120.00
With the nearest neighbours (Å) after each atom.
Space group R-3m (No. 166, hexagonal axes)
One atom of each set of equivalent atoms:
Li 0.0000 0.0000 0.0960  3 Pb 2.85
Ca 0.0000 0.0000 0.3708  3 Li 3.30, 3 Pb 3.31, 3 Ca 3.55, 1 Ce 3.64
Ce 0.0000 0.0000 0.5000  6 Pb 3.46, 6 Li 3.48, 2 Ca 3.64
Pb 0.0000 0.0000 0.2363  3 Li 2.85



No. 5
## PmPrYTm (PBE)

Data for crystalline PmPrYTm at its relaxed geometry.

DFT formation energy, eV per atom: 0.103
Energy above the lowest structure with this stoichiometry, eV per atom: 0.003

abc: 12.4723 5.8954 3.8109
angles: 90.00 107.24 90.00
With the nearest neighbours (Å) after each atom.
Space group Cm (No. 8)
One atom of each set of equivalent atoms:
Pm 0.0000 0.0000 0.0000  2 Tm 3.40-3.49, 4 Y 3.50-3.54, 1 Pr 3.58
Pr 0.2658 0.0000 0.8178  4 Tm 3.46-3.56, 2 Y 3.53-3.67, 2 Pm 3.58-3.82, 2 Pr 3.81
Y 0.0220 0.5000 0.5324  2 Tm 3.36-3.46, 4 Pm 3.50-3.54, 2 Pr 3.53-3.67
Tm 0.2592 0.5000 0.2872  2 Y 3.36-3.46, 2 Pm 3.40-3.49, 4 Pr 3.46-3.56



No. 6
## Y3Ga2Ge3 (PBE)

Data for crystalline Y3Ga2Ge3 at its relaxed geometry.

DFT formation energy, eV per atom: -0.680

abc: 4.1755 11.0653 14.7445
angles: 90.00 90.00 90.00
With the nearest neighbours (Å) after each atom.
Space group Cmcm (No. 63)
One atom of each set of equivalent atoms:
Y 0.0000 0.0577 0.1141  6 Ge 2.96-3.13, 3 Ga 3.14-3.17
Y 0.0000 0.3426 0.2500  5 Ge 3.02-3.26, 4 Ga 3.03
Ga 0.0000 0.2264 0.6099  4 Ge 2.64-2.77
Ge 0.0000 0.3823 0.0374  3 Ga 2.64-2.77, 1 Ge 2.83
Ge 0.0000 0.3841 0.7500  2 Ga 2.70, 5 Y 2.96-3.02



No. 7
## CuAgAsI2 (PBE)

Data for crystalline CuAgAsI2 at its relaxed geometry.

Raw total energy, eV per cell: -11.75

abc: 5.8127 5.8127 4.9013
angles: 90.00 90.00 90.00
With the nearest neighbours (Å) after each atom.
Space group P4/mmm (No. 123)
One atom of each set of equivalent atoms:
Cu 0.0000 0.0000 0.0000  8 I 3.80, 4 Ag 4.11
Ag 0.5000 0.5000 0.0000  2 As 2.45
As 0.5000 0.5000 0.5000  2 Ag 2.45
I 0.0000 0.5000 0.5000  2 As 2.91



No. 8
## Ca3Ag5F12 (PBE)

Data for crystalline Ca3Ag5F12 at its relaxed geometry.

Energy above the lowest structure with this stoichiometry, eV per atom: 0.047

abc: 13.7213 13.7213 13.7213
angles: 90.00 90.00 90.00
With the nearest neighbours (Å) after each atom.
Space group Ia-3d (No. 230)
One atom of each set of equivalent atoms:
Ca 0.0000 0.2500 0.1250  8 F 2.42-2.56
Ag 0.0000 0.0000 0.0000  6 F 2.36
Ag 0.0000 0.2500 0.3750  4 F 2.28
F 0.0145 0.0768 0.6529  2 Ag 2.28-2.36, 1 Ca 2.42, 1 F 2.54



No. 9
## ErGa2Au3 (PBE)

Data for crystalline ErGa2Au3 at its relaxed geometry.

DFT formation energy, eV per atom: -0.501
Energy above the lowest structure with this stoichiometry, eV per atom: 0.026

abc: 4.4029 7.7529 13.8422
angles: 90.00 90.00 90.00
With the nearest neighbours (Å) after each atom.
Space group Immm (No. 71)
One atom of each set of equivalent atoms:
Er 0.0000 0.0000 0.1372  8 Au 3.04-3.18, 6 Ga 3.16-3.38
Ga 0.0000 0.3394 0.5000  1 Ga 2.49, 4 Au 2.54-2.66
Ga 0.0000 0.5000 0.1776  8 Au 2.75-2.99
Au 0.0000 0.2124 0.3218  3 Ga 2.66-2.75
Au 0.0000 0.3235 0.0000  4 Ga 2.54-2.81, 1 Au 2.74



No. 10
## La2CuRhN (PBE)

Data for crystalline La2CuRhN at its relaxed geometry.

Energy above the lowest structure with this stoichiometry, eV per atom: 0.000

abc: 5.1155 5.1155 3.8004
angles: 90.00 90.00 90.00
With the nearest neighbours (Å) after each atom.
Space group P4/mmm (No. 123)
One atom of each set of equivalent atoms:
La 0.0000 0.5000 0.0000  2 N 2.56
Cu 0.0000 0.0000 0.5000  2 N 1.90
Rh 0.5000 0.5000 0.5000  8 La 3.19
N 0.0000 0.0000 0.0000  2 Cu 1.90



No. 11
## Sr3BiI (PBE)

Data for crystalline Sr3BiI at its relaxed geometry.

Energy above the lowest structure with this stoichiometry, eV per atom: 0.000

abc: 6.4743 6.4743 6.4743
angles: 90.00 90.00 90.00
With the nearest neighbours (Å) after each atom.
Space group Pm-3m (No. 221)
One atom of each set of equivalent atoms:
Sr 0.0000 0.0000 0.5000  2 Bi 3.24
Bi 0.0000 0.0000 0.0000  6 Sr 3.24
I 0.5000 0.5000 0.5000  12 Sr 4.58



No. 12
## Sm2Be6Pd9 (PBE)

Data for crystalline Sm2Be6Pd9 at its relaxed geometry.

DFT formation energy, eV per atom: -0.571

abc: 5.6077 5.6077 9.8632
angles: 90.00 90.00 120.00
With the nearest neighbours (Å) after each atom.
Space group P6/mmm (No. 191)
One atom of each set of equivalent atoms:
Sm 0.0000 0.0000 0.1976  12 Pd 3.12-3.41, 6 Be 3.25
Be 0.3333 0.6667 0.1669  6 Pd 2.31-2.33
Be 0.3333 0.6667 0.5000  6 Pd 2.28
Pd 0.0000 0.5000 0.0000  4 Be 2.31
Pd 0.0000 0.5000 0.3370  4 Be 2.28-2.33